1.
Sm2ThSc, optimized geometry, DFT PBE; ΔE_f = 0.226 eV/atom; total moment = 0.13 μB per cell; distance to the lowest polymorph of the same formula = 0.192 eV/atom; crystal system = cubic
1.0
5.6123 0.0000 0.0000
2.8062 4.8604 0.0000
2.8062 1.6201 4.5824
Sc Sm Th
1 2 1
Cartesian
5.6123 3.2403 2.2912
2.8062 1.6201 1.1456
8.4185 4.8604 3.4368
0.0000 0.0000 0.0000

2.
Na7Tl5Pb, optimized geometry, DFT PBE; ΔE_f = -0.083 eV/atom; total moment = 0.00 μB per cell; crystal system = monoclinic
1.0
6.1521 0.0112 1.9981
3.0686 7.8884 1.0732
0.6689 0.0244 8.5057
Na Tl Pb
7 5 1
Cartesian
5.0713 3.4792 5.3185
4.2580 6.2484 7.9859
1.3833 1.9240 6.2606
2.4804 5.5195 2.8624
2.4430 2.0380 2.9451
5.8524 6.4414 2.9681
4.1866 0.9822 8.1278
6.5680 7.7256 6.0922
3.4663 7.7043 5.0967
5.3477 3.7265 9.8718
2.2543 3.7323 8.8508
7.6892 5.0698 7.8467
5.9223 0.8548 2.8165

3.
NaNpAu2I8, optimized geometry, DFT PBE; total moment = 2.25 μB per cell; crystal system = triclinic; E_form (uncorrected) = -608 kJ/mol of formula units
1.0
7.6625 -2.0244 0.0991
-2.0928 7.9987 1.0738
0.0911 1.2802 9.1022
Na Np Au I
1 1 2 8
Cartesian
0.0456 0.6401 4.5511
0.0000 0.0000 0.0000
1.9288 3.3542 6.9018
3.7320 3.9003 3.3732
-1.1621 6.3206 3.4130
2.7174 5.0519 1.1569
6.9510 0.1954 1.9211
6.8229 0.9338 6.8621
2.9434 2.2026 9.1182
-1.2902 7.0591 8.3540
2.5257 5.6417 5.5603
3.1351 1.6128 4.7148

4.
AlPtBr2, optimized geometry, DFT PBE; total moment = 0.00 μB per cell; distance to the lowest polymorph of the same formula = 0.018 eV/atom; crystal system = orthorhombic; E_form (uncorrected) = -180 kJ/mol of formula units
1.0
-1.8165 1.0664 -1.9410
-2.4206 -2.2680 1.0192
-3.3175 6.5542 6.7057
Br Pt Al
2 1 1
Cartesian
-3.1383 6.2002 6.3435
-3.1730 1.4825 1.6706
-2.2450 4.4354 4.5379
-3.9744 3.0658 3.2904

5.
CaPr3Y6Ho2, optimized geometry, DFT PBE; ΔE_f = 0.054 eV/atom; total moment = 0.00 μB per cell; crystal system = monoclinic
1.0
6.2901 -0.0011 0.0102
-3.1445 5.4477 0.0102
-1.0658 -1.8455 11.7675
Ca Pr Y Ho
1 3 6 2
Cartesian
0.0000 0.0000 0.0000
-2.1169 3.6237 5.8940
4.1966 -0.0226 5.8940
1.0399 1.8006 5.8940
3.1484 1.7557 8.8544
2.0771 3.5965 2.9444
-1.0686 1.8454 2.9335
-0.0527 3.6045 8.8544
0.0026 0.0046 8.8436
2.1325 -0.0033 2.9335
0.0011 3.6310 0.0102
3.1445 1.8156 0.0102

6.
Ca2TlZn, optimized geometry, DFT PBE; ΔE_f = -0.259 eV/atom; total moment = 0.00 μB per cell; crystal system = monoclinic
1.0
-2.9065 -5.7415 0.5107
0.0987 -5.8320 2.7662
-3.1824 -0.5365 4.2186
Tl Ca Zn
1 2 1
Cartesian
-2.9697 -6.4287 3.6989
-2.8114 -11.2347 3.2953
-4.4943 -9.2204 5.6182
-1.5177 -2.8547 1.9077

7.
Cr2TeW2, optimized geometry, DFT PBE; total moment = 0.00 μB per cell; crystal system = tetragonal; E_form (uncorrected) = 350 kJ/mol of formula units
1.0
0.0798 5.8224 2.1603
-3.4162 4.7230 -2.1439
-0.3829 -5.9245 1.8242
Cr Te W
2 1 2
Cartesian
-2.0568 6.5011 0.0101
-1.2795 4.0444 0.0063
0.0000 0.0000 0.0000
-2.7336 2.0356 -0.1558
-0.9856 2.5853 1.9964

8.
PmAs2Ir, optimized geometry, DFT PBE; ΔE_f = -0.382 eV/atom; total moment = 0.00 μB per cell; distance to the lowest polymorph of the same formula = 0.449 eV/atom; crystal system = tetragonal
1.0
3.8936 0.0000 0.0000
0.0000 4.4655 0.0000
0.0000 0.0000 4.4655
As Ir Pm
2 1 1
Cartesian
0.0000 0.0000 2.2327
0.0000 2.2327 0.0000
1.9468 0.0000 0.0000
1.9468 2.2327 2.2327

9.
Mg2ZrCu9, optimized geometry, DFT PBE; ΔE_f = -0.101 eV/atom; total moment = 0.00 μB per cell; crystal system = trigonal
1.0
4.9535 0.0000 0.0000
2.4768 4.2899 0.0000
2.4768 1.4300 8.0327
Mg Zr Cu
2 1 9
Cartesian
7.4303 4.2899 3.4373
2.4768 1.4300 4.5954
0.0000 0.0000 0.0000
7.4303 4.2899 8.0312
2.4768 1.4300 0.0015
4.9535 2.8599 4.0163
3.7054 2.1393 2.0234
6.2017 2.1393 2.0234
4.9535 4.3012 2.0234
6.2017 3.5805 6.0093
4.9535 1.4187 6.0093
3.7054 3.5805 6.0093

10.
PuTiSe3, optimized geometry, DFT PBE; total moment = 11.81 μB per cell; distance to the lowest polymorph of the same formula = 0.000 eV/atom; crystal system = monoclinic; E_form (uncorrected) = -618 kJ/mol of formula units
1.0
3.8449 0.0000 0.0000
0.0000 7.4312 0.3466
0.0000 -1.3247 8.0008
Pu Ti Se
2 2 6
Cartesian
0.9612 2.5410 1.8288
2.8837 3.5656 6.5186
0.9613 5.9140 3.1061
2.8836 0.1926 5.2413
2.8837 4.1410 3.4136
0.9612 1.9656 4.9339
2.8837 0.8243 7.6972
0.9612 5.8546 5.7387
0.9613 5.2822 0.6502
2.8837 0.2520 2.6087

11.
BiPtNO2, optimized geometry, DFT PBE; total moment = 1.38 μB per cell; crystal system = tetragonal; E_form (uncorrected) = 497 kJ/mol of formula units
1.0
-2.2452 0.6050 3.4117
3.0252 -1.6398 2.2817
1.8226 4.0355 0.4837
O Bi Pt N
2 1 1 1
Cartesian
1.5126 -0.8199 1.1408
-1.1226 0.3025 1.7059
0.0000 0.0000 0.0000
1.3013 1.5003 3.0886
0.9113 2.0177 0.2419

12.
Pr2Dy3Mg, optimized geometry, DFT PBE; ΔE_f = 0.127 eV/atom; total moment = 0.00 μB per cell; distance to the lowest polymorph of the same formula = 0.000 eV/atom; crystal system = monoclinic
1.0
5.8963 2.0210 -4.4592
-1.4453 7.5016 -0.6113
-1.6170 -1.2334 9.6949
Pr Dy Mg
4 6 2
Cartesian
3.5287 1.5606 -0.2318
-0.6947 6.7285 4.8562
2.1484 5.0173 4.1383
0.6856 3.2718 0.4861
2.8333 6.0074 0.8227
0.0007 2.2818 3.8017
3.5969 3.5656 -3.0926
3.4270 1.0559 3.6790
-0.7629 4.7235 7.7170
-0.5930 7.2332 0.9454
4.0935 6.6658 -2.1356
-1.2595 1.6233 6.7600

13.
ScIn5, optimized geometry, DFT PBE; ΔE_f = -0.069 eV/atom; total moment = 0.00 μB per cell; distance to the lowest polymorph of the same formula = 0.055 eV/atom; crystal system = tetragonal
1.0
6.3106 0.0000 -3.4533
-1.8897 6.0211 -3.4533
0.2527 0.3441 7.9546
Sc In
2 10
Cartesian
1.2316 1.6773 2.2507
3.4421 4.6879 -1.2026
0.0000 0.0000 0.0000
2.2105 3.0105 -3.4533
0.3843 4.8208 -1.5796
2.5626 1.8102 -0.5279
3.1703 5.9976 -3.9811
2.1111 4.5550 1.5759
1.5033 0.3676 5.0292
-0.6749 3.3781 3.9775
4.2893 1.5444 2.6276
5.3486 2.9871 -2.9294

14.
VOsC, optimized geometry, DFT PBE; ΔE_f = 0.128 eV/atom; total moment = 0.00 μB per cell; crystal system = monoclinic
1.0
3.9607 0.6855 0.4683
2.5725 3.0886 0.4683
2.9519 1.7053 7.1017
Os C V
2 2 2
Cartesian
3.8683 2.2347 0.8795
1.9598 1.1322 2.0087
5.4208 3.1315 4.0201
3.3589 1.9404 5.9698
3.5924 2.0753 3.9553
5.1873 2.9967 6.0346

15.
Pm2Al2Zn3, optimized geometry, DFT PBE; ΔE_f = -0.181 eV/atom; total moment = 0.00 μB per cell; distance to the lowest polymorph of the same formula = 0.172 eV/atom; crystal system = orthorhombic
1.0
3.3797 0.0000 0.0000
0.0000 4.3601 0.0000
0.0000 -2.1800 10.4234
Pm Al Zn
2 2 3
Cartesian
0.0000 2.1800 7.2821
0.0000 0.0000 3.1413
1.6898 2.1800 4.5244
1.6898 0.0000 5.8990
1.6898 2.1800 1.3317
1.6898 0.0000 9.0917
0.0000 0.0000 0.0000

16.
Mn2VGa2, optimized geometry, DFT PBE; ΔE_f = -0.106 eV/atom; total moment = 2.56 μB per cell; distance to the lowest polymorph of the same formula = 0.000 eV/atom; crystal system = orthorhombic
1.0
2.9102 0.0000 0.0000
0.0000 2.8161 0.5336
0.0000 -0.1500 8.4897
Mn V Ga
2 1 2
Cartesian
1.4551 1.1443 1.6591
1.4551 1.5219 7.3641
0.0000 0.0000 0.0000
0.0000 0.4084 5.5428
0.0000 2.2578 3.4805

17.
MgMo2Ru, optimized geometry, DFT PBE; ΔE_f = 0.229 eV/atom; total moment = 0.28 μB per cell; crystal system = monoclinic
1.0
5.2263 -0.0110 -0.0042
-2.5688 4.5515 -0.0042
0.3922 0.6700 2.6221
Mg Mo Ru
1 2 1
Cartesian
-1.0883 2.6107 1.3090
0.0000 0.0000 0.0000
1.3288 2.2702 -0.0042
2.8092 0.3295 1.3090

18.
La6CdN3, optimized geometry, DFT PBE; total moment = 1.53 μB per cell; crystal system = trigonal; E_form (uncorrected) = -730 kJ/mol of formula units
1.0
6.0985 0.0002 -3.2679
-3.9251 5.6977 -0.0002
-0.0391 -0.0268 7.2512
La Cd N
6 1 3
Cartesian
0.5304 2.6886 4.1024
-2.0050 4.3565 1.0870
4.7888 0.3305 -1.0672
-2.0051 5.2354 4.5208
3.6246 1.9589 2.7137
1.2202 2.2721 0.1284
1.3186 5.1092 2.4610
2.6480 1.8243 4.9416
-0.6402 3.7600 6.1298
1.1516 0.7934 2.1492

19.
Cu2SbMo, optimized geometry, DFT PBE; total moment = 0.00 μB per cell; crystal system = tetragonal; E_form (uncorrected) = 166 kJ/mol of formula units
1.0
2.8592 0.0012 0.0000
-0.0014 2.8592 0.0000
0.0000 0.0000 8.2001
Cu Mo Sb
2 1 1
Cartesian
0.0000 0.0000 0.2255
0.0000 0.0000 3.8746
1.4289 1.4302 2.0500
1.4289 1.4302 6.1501

20.
NaMgAl, optimized geometry, DFT PBE; ΔE_f = 0.145 eV/atom; total moment = 0.00 μB per cell; distance to the lowest polymorph of the same formula = 0.062 eV/atom; crystal system = trigonal
1.0
-2.8964 -0.7643 1.0735
2.4807 0.0221 1.9927
-1.3879 7.5685 1.6440
Na Mg Al
1 1 1
Cartesian
-1.3721 7.4825 1.6253
-1.5989 2.1968 1.9662
-0.2204 4.7154 2.7627